Computed, not measured: a relaxed La2Tb3NdAs6 crystal at the GGA-PBE level of DFT.

Output
- Energy of formation from the pure elements: -148.5 kJ/mol of atoms
- Crystal system: monoclinic
- Total DFT energy (no corrections): -6.240 eV per atom

Lattice parameters (Å, degrees): 4.2433 8.4792 9.4795 102.88 102.93 90.00
Closest atoms and distances in Å follow each position.
Atoms (fractional coordinates):
As 0.0029 0.7463 0.0057  3 Tb 2.95-2.97, 2 Nd 3.03, 1 La 3.04
As 0.6639 0.5901 0.3278  3 Tb 2.95, 3 La 3.05-3.06
Tb 0.1666 0.8337 0.3332  6 As 2.95-2.97
Tb 0.5000 0.5000 0.0000  6 As 2.95-2.97
As 0.3361 0.4099 0.6722  3 Tb 2.95, 3 La 3.05-3.06
Nd 0.5000 0.0000 0.0000  6 As 3.03
Tb 0.8334 0.1663 0.6668  6 As 2.95-2.97
La 0.8339 0.6678 0.6678  6 As 3.04-3.06
As 0.6682 0.0757 0.3365  3 Tb 2.95-2.97, 1 Nd 3.03, 2 La 3.04
As 0.9971 0.2537 0.9943  3 Tb 2.95-2.97, 2 Nd 3.03, 1 La 3.04
La 0.1661 0.3322 0.3322  6 As 3.04-3.06
As 0.3318 0.9243 0.6635  3 Tb 2.95-2.97, 1 Nd 3.03, 2 La 3.04